Computed, not measured: crystalline NaSmTm2 at its relaxed geometry at the PBE level of DFT.

Properties
Total magnetization, μB/cell: 0.000
ΔH_f (0 K), meV/atom: 193

The structure in extended XYZ format:
```
4
Lattice="3.493 0.000 0.000 1.747 3.025 0.000 1.747 1.008 12.623" Properties=species:S:1:pos:R:3 pbc="T T T"
Na 0.000 0.000 0.000
Sm 3.493 2.017 6.311
Tm 5.240 3.025 3.476
Tm 1.747 1.008 9.146
```

---

Computed, not measured: crystalline NaSmTm2 at its relaxed geometry at the PBE level of DFT.

Properties
Total magnetization, μB/cell: 0.000
ΔH_f (0 K), meV/atom: 158

The structure in extended XYZ format:
```
4
Lattice="-3.297 1.146 0.681 -1.308 -3.133 -1.060 0.752 -3.591 9.688" Properties=species:S:1:pos:R:3 pbc="T T T"
Sm -2.302 -0.993 -0.189
Na -1.926 -2.789 4.655
Tm 0.579 -2.763 7.453
Tm 0.174 -0.829 2.236
```

---

Computed, not measured: crystalline NaSmTm at its relaxed geometry at the PBE level of DFT.

Properties
Total magnetization, μB/cell: 0.002
ΔH_f (0 K), meV/atom: 139

The structure in extended XYZ format:
```
3
Lattice="-1.113 -2.780 1.888 3.031 -0.194 -1.819 4.580 3.123 7.299" Properties=species:S:1:pos:R:3 pbc="T T T"
Sm 4.622 0.970 4.153
Tm 1.864 -0.830 3.195
Na 0.013 0.009 0.020
```

---

Computed, not measured: crystalline NaSmTm at its relaxed geometry at the PBE level of DFT.

Properties
Total magnetization, μB/cell: 0.001
ΔH_f (0 K), meV/atom: 160

The structure in extended XYZ format:
```
3
Lattice="-2.091 -1.779 -2.176 -1.936 -1.055 2.723 -2.713 7.974 -1.093" Properties=species:S:1:pos:R:3 pbc="T T T"
Sm -3.685 0.902 -0.017
Tm -3.072 4.262 -0.533
Na -6.722 5.117 -0.544
```

---

Computed, not measured: crystalline NaSmTm at its relaxed geometry at the PBE level of DFT.

Properties
Total magnetization, μB/cell: 0.000
ΔH_f (0 K), meV/atom: 127

The structure in extended XYZ format:
```
6
Lattice="4.019 0.000 0.000 0.000 4.019 0.000 0.000 0.000 12.498" Properties=species:S:1:pos:R:3 pbc="T T T"
Tm 0.000 2.009 7.128
Tm 2.009 0.000 5.370
Sm 2.009 0.000 9.117
Sm 0.000 2.009 3.381
Na 0.000 2.009 11.469
Na 2.009 0.000 1.029
```

---

Computed, not measured: crystalline NaSmTm at its relaxed geometry at the PBE level of DFT.

Properties
Total magnetization, μB/cell: 0.000
ΔH_f (0 K), meV/atom: 187

The structure in extended XYZ format:
```
6
Lattice="-1.603 -4.226 3.331 -0.896 -5.101 -2.170 6.806 -1.681 1.142" Properties=species:S:1:pos:R:3 pbc="T T T"
Tm 0.156 -6.146 2.861
Tm 0.096 -8.138 0.304
Na 3.559 -6.985 3.429
Na 3.500 -8.978 0.874
Sm -0.648 -4.640 -0.348
Sm 2.503 -5.418 0.181
```